An optimized crystal structure of RbHgIO2, computed with PBE-GGA.

Values from the calculation:
DFT total energy ... -2.11 eV per atom
Crystal system ... tetragonal
Symmetry ... P4/mmm (123)
Energy above the most stable polymorph in this dataset ... 504.4 meV per atom
Raw formation energy ... 0.437 eV/atom
Calculated volume ... 187.69 Å³ per cell

Lattice parameters (Å, degrees): 4.9188 4.9188 7.7576 90.00 90.00 90.00
Closest atoms and distances in Å follow each position.
Fractional coordinates of all 5 atoms:
1 Rb 0.0000 0.0000 0.0000  4 O 2.46
2 Hg 0.5000 0.5000 0.5000  4 I 3.48
3 I 0.0000 0.0000 0.5000  4 Hg 3.48, 2 Rb 3.88
4 O 0.0000 0.5000 0.0000  2 Rb 2.46
5 O 0.5000 0.0000 0.0000  2 Rb 2.46